(1)
Crystalline BaSrRu2 at its relaxed geometry, computed with PBE.

The total DFT energy (no corrections) is -20.3 eV/cell.

The structure in CIF format:
```
data_BaSrRu2
_chemical_formula_sum 'Ba1 Sr1 Ru2'
_space_group_name_H-M_alt 'P m m 2'
_space_group_IT_number 25
_cell_length_a 3.310
_cell_length_b 3.678
_cell_length_c 9.376
_cell_angle_alpha 90.00
_cell_angle_beta 90.00
_cell_angle_gamma 90.00
loop_
_space_group_symop_operation_xyz
'x,y,z'
'-x,-y,z'
'-x,y,z'
'x,-y,z'
loop_
_atom_site_label
_atom_site_type_symbol
_atom_site_fract_x
_atom_site_fract_y
_atom_site_fract_z
_atom_site_occupancy
Ba1 Ba 0.000 0.000 0.000 1
Sr1 Sr 0.500 0.500 0.580 1
Ru1 Ru 0.000 0.000 0.339 1
Ru2 Ru 0.500 0.500 0.258 1
```

***

(2)
Crystalline LiNi2B at its relaxed geometry, computed with PBE.

The total DFT energy (no corrections) is -80.5 eV/cell.

The structure in CIF format:
```
data_LiNi2B
_chemical_formula_sum 'Li4 Ni8 B4'
_space_group_name_H-M_alt 'I -4 2 d'
_space_group_IT_number 122
_space_group_name_Hall 'I -4 2bw'
_cell_length_a 6.093
_cell_length_b 6.093
_cell_length_c 4.639
_cell_angle_alpha 90.00
_cell_angle_beta 90.00
_cell_angle_gamma 90.00
loop_
_atom_site_label
_atom_site_type_symbol
_atom_site_fract_x
_atom_site_fract_y
_atom_site_fract_z
_atom_site_occupancy
Li1 Li 0.000 0.000 0.000 1
Ni1 Ni 0.162 0.250 0.625 1
B1 B 0.000 0.000 0.500 1
```

***

(3)
Crystalline TaCrOsRu at its relaxed geometry, computed with PBE.

The total DFT energy (no corrections) is -169.4 eV/cell.

The structure in CIF format:
```
data_TaCrOsRu
_chemical_formula_sum 'Ta4 Cr4 Os4 Ru4'
_space_group_name_H-M_alt 'F -4 3 m'
_space_group_IT_number 216
_space_group_name_Hall 'F -4 2 3'
_cell_length_a 6.216
_cell_length_b 6.216
_cell_length_c 6.216
_cell_angle_alpha 90.00
_cell_angle_beta 90.00
_cell_angle_gamma 90.00
loop_
_atom_site_label
_atom_site_type_symbol
_atom_site_fract_x
_atom_site_fract_y
_atom_site_fract_z
_atom_site_occupancy
Ta1 Ta 0.000 0.000 0.000 1
Cr1 Cr 0.000 0.000 0.500 1
Os1 Os 0.250 0.250 0.250 1
Ru1 Ru 0.250 0.250 0.750 1
```